Entry from Alexandria via LeMat-Bulk: an optimized crystal structure of PaCd2Pd (PBE-GGA).

a b c (Å): 11.241 11.241 11.241
angles (deg): 15.49 15.49 15.49
Sites, in units of the cell vectors:
Pa  0.000  0.000  0.000
Cd  0.100  0.100  0.100
Cd  0.900  0.900  0.900
Pd  0.500  0.500  0.500

VASP energy	-4.02	eV per atom
total moment	0.47	μB/f.u.
energy of formation from the pure elements	113.9	meV per atom
DOS at the Fermi energy	1.469	states/eV per atom
space group	R-3m, No. 166

Entry from Alexandria via LeMat-Bulk: an optimized crystal structure of Pu2Fe2Si2H (PBE-GGA).

a b c (Å): 7.450 7.450 7.450
angles (deg): 149.95 149.95 43.01
Sites, in units of the cell vectors:
Pu  0.173  0.173  0.000
Pu  0.827  0.827  0.000
Fe  0.000  0.500  0.500
Fe  0.500  0.000  0.500
Si  0.403  0.403  0.000
Si  0.597  0.597  0.000
H  0.000  0.000  0.000

VASP energy	-8.92	eV per atom
total moment	10.67	μB/f.u.
DOS at the Fermi energy	2.742	states/eV per atom
space group	I4/mmm, No. 139

Entry from Alexandria via LeMat-Bulk: an optimized crystal structure of ZrAl2Au6 (PBE-GGA).

a b c (Å): 4.592 4.592 8.977
angles (deg): 90.00 90.00 120.00
Sites, in units of the cell vectors:
Zr  0.000  0.000  0.000
Al  0.333  0.667  0.191
Al  0.667  0.333  0.809
Au  0.000  0.000  0.324
Au  0.000  0.000  0.676
Au  0.333  0.667  0.480
Au  0.333  0.667  0.854
Au  0.667  0.333  0.146
Au  0.667  0.333  0.520

VASP energy	-4.30	eV per atom
total moment	0.00	μB/f.u.
energy of formation from the pure elements	-331.5	meV per atom
DOS at the Fermi energy	0.401	states/eV per atom
space group	P-3m1, No. 164